[1]
DFT (GGA-PBE) results for NaDy2Ho after structural relaxation.

The density of states at the Fermi level comes out at 4.3 states/eV per cell. Its total magnetization is 0.0 Bohr magnetons per cell. The energy above the lowest structure with this stoichiometry comes out at 0.00 kcal/mol of atoms.

Cell and atoms, written as CIF:
```
data_NaDy2Ho
_chemical_formula_sum 'Na1 Dy2 Ho1'
_symmetry_space_group_name_H-M 'P 1'
_symmetry_Int_Tables_number 1
_symmetry_space_group_name_Hall 'P 1'
_cell_length_a 3.519
_cell_length_b 3.519
_cell_length_c 10.526
_cell_angle_alpha 90.00
_cell_angle_beta 90.00
_cell_angle_gamma 90.00
loop_
_atom_site_label
_atom_site_fract_x
_atom_site_fract_y
_atom_site_fract_z
Na1 0.000 0.000 0.000
Dy1 0.500 0.500 0.270
Dy2 0.500 0.500 0.730
Ho1 0.000 0.000 0.500
```

[2]
DFT (GGA-PBE) results for NaDy2Ho after structural relaxation.

The density of states at the Fermi level comes out at 14.8 states/eV per cell. Its total magnetization is 0.0 Bohr magnetons per cell. The energy above the lowest structure with this stoichiometry comes out at 0.62 kcal/mol of atoms.

Cell and atoms, written as CIF:
```
data_NaDy2Ho
_chemical_formula_sum 'Na3 Dy6 Ho3'
_symmetry_space_group_name_H-M 'P 1'
_symmetry_Int_Tables_number 1
_symmetry_space_group_name_Hall 'P 1'
_cell_length_a 3.490
_cell_length_b 3.490
_cell_length_c 37.887
_cell_angle_alpha 90.00
_cell_angle_beta 90.00
_cell_angle_gamma 120.00
loop_
_atom_site_label
_atom_site_fract_x
_atom_site_fract_y
_atom_site_fract_z
Na1 0.000 0.000 0.000
Na2 0.333 0.667 0.667
Na3 0.667 0.333 0.333
Dy1 0.000 0.000 0.092
Dy2 0.000 0.000 0.908
Dy3 0.333 0.667 0.574
Dy4 0.333 0.667 0.759
Dy5 0.667 0.333 0.241
Dy6 0.667 0.333 0.426
Ho1 0.000 0.000 0.500
Ho2 0.333 0.667 0.167
Ho3 0.667 0.333 0.833
```